No. 1
{"formula": "La3Re2", "functional": "GGA-PBE", "state": "relaxed", "e_above_lowest_polymorph_kj_per_mol_atoms": 15.6, "delta_e_f_ev_per_atom": 0.31, "space_group": "C2/m", "lattice_angstrom": [[1.998, 10.941, 0.001], [-1.998, 10.941, 0.001], [0.000, 0.152, 3.189]], "species": ["La", "La", "La", "Re", "Re"], "fractional_positions": [[0.362, 0.362, 0.527], [0.000, 0.000, 0.000], [0.638, 0.638, 0.473], [0.231, 0.231, 0.831], [0.769, 0.769, 0.169]]}

No. 2
{"formula": "Ba5NbH2N4", "functional": "GGA-PBE", "state": "relaxed", "energy_ev_per_atom": -5.642, "space_group": "Amm2", "lattice_angstrom": [[6.461, 0.000, 0.000], [-3.230, 5.269, 0.000], [0.000, 0.000, 8.050]], "species": ["Ba", "Ba", "Ba", "Ba", "Ba", "Nb", "H", "H", "N", "N", "N", "N"], "fractional_positions": [[0.079, 0.356, 0.222], [0.431, 0.000, 0.500], [0.079, 0.356, 0.778], [0.723, 0.644, 0.778], [0.723, 0.644, 0.222], [0.413, 0.000, 0.000], [0.905, 0.507, 0.500], [0.398, 0.493, 0.500], [0.594, 0.000, 0.199], [0.594, 0.000, 0.801], [0.387, 0.309, 0.000], [0.078, 0.691, 0.000]]}

No. 3
{"formula": "YHo3Tl3", "functional": "GGA-PBE", "state": "relaxed", "e_above_lowest_polymorph_kj_per_mol_atoms": 0.0, "delta_e_f_ev_per_atom": -0.25, "space_group": "P2_13", "lattice_angstrom": [[9.313, 0.000, 0.000], [0.000, 9.313, 0.000], [0.000, 0.000, 9.313]], "species": ["Y", "Y", "Y", "Y", "Ho", "Ho", "Ho", "Ho", "Ho", "Ho", "Ho", "Ho", "Ho", "Ho", "Ho", "Ho", "Tl", "Tl", "Tl", "Tl", "Tl", "Tl", "Tl", "Tl", "Tl", "Tl", "Tl", "Tl"], "fractional_positions": [[0.072, 0.572, 0.928], [0.928, 0.072, 0.572], [0.428, 0.428, 0.428], [0.572, 0.928, 0.072], [0.823, 0.323, 0.177], [0.925, 0.925, 0.925], [0.823, 0.677, 0.323], [0.177, 0.823, 0.323], [0.177, 0.177, 0.177], [0.323, 0.823, 0.677], [0.075, 0.425, 0.575], [0.323, 0.177, 0.823], [0.677, 0.323, 0.823], [0.677, 0.677, 0.677], [0.575, 0.075, 0.425], [0.425, 0.575, 0.075], [0.748, 0.625, 0.001], [0.875, 0.999, 0.248], [0.001, 0.748, 0.625], [0.125, 0.499, 0.252], [0.252, 0.125, 0.499], [0.248, 0.875, 0.999], [0.999, 0.248, 0.875], [0.375, 0.501, 0.752], [0.499, 0.252, 0.125], [0.625, 0.001, 0.748], [0.752, 0.375, 0.501], [0.501, 0.752, 0.375]]}

No. 4
{"formula": "SmEr3Rh8", "functional": "GGA-PBE", "state": "relaxed", "delta_e_f_ev_per_atom": -0.72, "space_group": "P3m1", "lattice_angstrom": [[-1.421, 3.298, -3.940], [-3.054, -0.431, 4.348], [4.481, 6.454, 3.786]], "species": ["Sm", "Er", "Er", "Er", "Rh", "Rh", "Rh", "Rh", "Rh", "Rh", "Rh", "Rh"], "fractional_positions": [[0.000, 0.000, 0.567], [0.667, 0.333, 0.432], [0.667, 0.333, 0.066], [0.000, 0.000, 0.935], [0.333, 0.667, 0.499], [0.333, 0.667, 0.000], [0.502, 0.005, 0.753], [0.502, 0.498, 0.753], [0.995, 0.498, 0.753], [0.164, 0.329, 0.248], [0.164, 0.836, 0.248], [0.671, 0.836, 0.248]]}

No. 5
{"formula": "AcAgF6", "functional": "GGA-PBE", "state": "relaxed", "e_above_lowest_polymorph_kj_per_mol_atoms": 1.8, "raw_formation_energy_mev_per_atom": -2518, "space_group": "Fm-3m", "lattice_angstrom": [[6.374, 0.000, 0.000], [3.187, 5.520, 0.000], [3.187, 1.840, 5.204]], "species": ["Ac", "Ag", "F", "F", "F", "F", "F", "F"], "fractional_positions": [[0.500, 0.500, 0.500], [0.000, 0.000, 0.000], [0.766, 0.766, 0.234], [0.766, 0.234, 0.234], [0.234, 0.766, 0.766], [0.234, 0.234, 0.766], [0.234, 0.766, 0.234], [0.766, 0.234, 0.766]]}

No. 6
{"formula": "KHPd2", "functional": "GGA-PBE", "state": "relaxed", "e_above_lowest_polymorph_kj_per_mol_atoms": 0.0, "space_group": "I4_1/amd", "lattice_angstrom": [[5.846, 0.000, 0.000], [0.000, 5.846, 0.000], [2.923, 2.923, 4.143]], "species": ["H", "H", "K", "K", "Pd", "Pd", "Pd", "Pd"], "fractional_positions": [[0.500, 0.500, 0.000], [0.250, 0.750, 0.500], [0.000, 0.000, 0.000], [0.750, 0.250, 0.500], [0.375, 0.125, 0.250], [0.375, 0.625, 0.250], [0.375, 0.625, 0.750], [0.875, 0.625, 0.750]]}

No. 7
{"formula": "Ta4IrPt3", "functional": "GGA-PBE", "state": "relaxed", "delta_e_f_ev_per_atom": -0.47, "space_group": "Pmmm", "lattice_angstrom": [[2.786, 0.000, 0.000], [0.000, 4.919, 0.000], [0.000, 0.000, 9.852]], "species": ["Ir", "Pt", "Pt", "Pt", "Ta", "Ta", "Ta", "Ta"], "fractional_positions": [[0.500, 0.500, 0.000], [0.500, 0.000, 0.253], [0.500, 0.500, 0.500], [0.500, 0.000, 0.747], [0.000, 0.000, 0.500], [0.000, 0.500, 0.757], [0.000, 0.000, 0.000], [0.000, 0.500, 0.243]]}

No. 8
{"formula": "Ba2SrCaZn", "functional": "GGA-PBE", "state": "relaxed", "e_above_lowest_polymorph_kj_per_mol_atoms": 3.7, "delta_e_f_ev_per_atom": 0.04, "space_group": "P4/mmm", "lattice_angstrom": [[6.437, 0.000, 0.000], [0.000, 6.437, 0.000], [0.000, 0.000, 6.368]], "species": ["Sr", "Zn", "Ca", "Ba", "Ba"], "fractional_positions": [[0.000, 0.000, 0.500], [0.000, 0.000, 0.000], [0.500, 0.500, 0.500], [0.000, 0.500, 0.000], [0.500, 0.000, 0.000]]}

no.,Fermi-level density of states (states/eV per cell)
1,5.8
2,1.4
3,39.5
4,7.2
5,1.5
6,0.0
7,5.5
8,6.5